DFT (PBE) results for a relaxed RbHgH2I3O crystal.

Unit cell a=8.8308 b=7.5398 c=14.9663 alpha=90.00 beta=90.06 gamma=90.00
Closest atoms and distances in Å follow each position.
Atoms (fractional coordinates):
1 Rb 0.0000 0.0198 0.0000  2 O 2.95-3.01, 2 H 3.18-3.29
2 Rb 0.0000 0.9802 0.5000  2 O 2.95-3.01, 2 H 3.18-3.29
3 Rb 0.5039 0.2074 0.3715  2 O 2.94-2.99, 1 H 3.27
4 Rb 0.5039 0.7926 0.8715  2 O 2.94-2.99, 1 H 3.27
5 Hg 0.3091 0.2833 0.7179  4 I 2.79-2.94
6 Hg 0.3091 0.7167 0.2179  4 I 2.79-2.94
7 Hg 0.8083 0.3124 0.7346  4 I 2.80-2.94
8 Hg 0.8083 0.6876 0.2346  4 I 2.80-2.94
9 H 0.1124 0.2027 0.3226  1 O 0.98
10 H 0.1124 0.7973 0.8226  1 O 0.98
11 H 0.1562 0.3497 0.3908  1 O 0.98
12 H 0.1562 0.6503 0.8908  1 O 0.98
13 H 0.5957 0.0432 0.0478  1 O 0.98
14 H 0.5957 0.9568 0.5478  1 O 0.98
15 H 0.6639 0.1587 0.9717  1 O 0.99
16 H 0.6639 0.8413 0.4717  1 O 0.99
17 I 0.0601 0.4580 0.6293  2 Hg 2.88-2.94
18 I 0.0601 0.5420 0.1293  2 Hg 2.88-2.94
19 I 0.3142 0.3299 0.9027  1 Hg 2.79, 1 H 2.80
20 I 0.3142 0.6701 0.4027  1 Hg 2.79, 1 H 2.80
21 I 0.3393 0.0611 0.1506  1 H 2.74, 1 Hg 2.80
22 I 0.3393 0.9389 0.6506  1 H 2.74, 1 Hg 2.80
23 I 0.5655 0.4677 0.6340  2 Hg 2.87-2.94
24 I 0.5655 0.5323 0.1340  2 Hg 2.87-2.94
25 I 0.8138 0.4509 0.9085  1 H 2.74, 1 Hg 2.80
26 I 0.8138 0.5491 0.4085  1 H 2.74, 1 Hg 2.80
27 I 0.8434 0.0576 0.2369  1 Hg 2.81, 1 H 2.91
28 I 0.8434 0.9424 0.7369  1 Hg 2.81, 1 H 2.91
29 O 0.1653 0.2219 0.3794  2 H 0.98
30 O 0.1653 0.7781 0.8794  2 H 0.98
31 O 0.6595 0.0359 0.9941  2 H 0.98-0.99
32 O 0.6595 0.9641 0.4941  2 H 0.98-0.99

Computed properties:
**VASP energy**: -3.073 eV per atom
**SG**: Pc